A plane-wave DFT calculation with GGA-PBE was carried out for an optimized crystal structure of Sr2ThP3Rh12.

Calculated values
Crystal system   trigonal

a b c (Å): 7.3207 7.3207 7.3207
angles (deg): 70.59 70.59 70.59
Atoms (fractional coordinates):
P 0.5000 0.0000 0.0000
P 0.0000 0.0000 0.5000
P 0.0000 0.5000 0.0000
Rh 0.6146 0.1462 0.1462
Rh 0.9164 0.3242 0.3242
Rh 0.6758 0.6758 0.0836
Rh 0.3242 0.9164 0.3242
Rh 0.3242 0.3242 0.9164
Rh 0.0836 0.6758 0.6758
Rh 0.1462 0.1462 0.6146
Rh 0.8538 0.8538 0.3854
Rh 0.1462 0.6146 0.1462
Rh 0.8538 0.3854 0.8538
Rh 0.6758 0.0836 0.6758
Rh 0.3854 0.8538 0.8538
Sr 0.5964 0.5964 0.5964
Sr 0.4036 0.4036 0.4036
Th 0.0000 0.0000 0.0000

A plane-wave DFT calculation with GGA-PBE was carried out for an optimized crystal structure of SrTiPRh2.

Calculated values
Crystal system   tetragonal

a b c (Å): 4.5934 4.6270 4.5934
angles (deg): 90.00 90.00 90.00
Each line ends with the local moment (μB).
Atoms (fractional coordinates):
Rh 0.5000 0.0000 0.0000  0.20
Rh 0.0000 0.0000 0.5000  0.21
Ti 0.0000 0.5000 0.0000  0.86
Sr 0.5000 0.5000 0.5000  0.05
P 0.0000 0.0000 0.0000  -0.01

A plane-wave DFT calculation with GGA-PBE was carried out for an optimized crystal structure of SrTiP2Rh.

Calculated values
Crystal system   tetragonal

a b c (Å): 3.9647 3.9647 6.8050
angles (deg): 106.94 106.94 90.00
Atoms (fractional coordinates):
Rh 0.7500 0.2500 0.5000
Sr 0.0000 0.0000 0.0000
P 0.3646 0.3646 0.7292
P 0.6354 0.6354 0.2708
Ti 0.2500 0.7500 0.5000

A plane-wave DFT calculation with GGA-PBE was carried out for an optimized crystal structure of Sr2TlPRh.

Calculated values
Crystal system   tetragonal

a b c (Å): 5.8605 5.8605 4.3829
angles (deg): 90.00 90.00 90.00
Atoms (fractional coordinates):
Tl 0.5000 0.5000 0.5000
Sr 0.5000 0.0000 0.0000
Sr 0.0000 0.5000 0.0000
P 0.0000 0.0000 0.0000
Rh 0.0000 0.0000 0.5000

A plane-wave DFT calculation with GGA-PBE was carried out for an optimized crystal structure of Sr2TmP3Rh12.

Calculated values
Crystal system   trigonal

a b c (Å): 6.7447 6.7447 6.7447
angles (deg): 83.93 83.93 83.93
Atoms (fractional coordinates):
Rh 0.3324 0.8236 0.8236
Rh 0.0766 0.6412 0.6412
Rh 0.3588 0.9234 0.3588
Rh 0.1764 0.1764 0.6676
Rh 0.6412 0.6412 0.0766
Rh 0.8236 0.3324 0.8236
Rh 0.3588 0.3588 0.9234
Rh 0.6412 0.0766 0.6412
Rh 0.9234 0.3588 0.3588
Rh 0.6676 0.1764 0.1764
Rh 0.1764 0.6676 0.1764
Rh 0.8236 0.8236 0.3324
Tm 0.0000 0.0000 0.0000
Sr 0.6162 0.6162 0.6162
Sr 0.3838 0.3838 0.3838
P 0.0000 0.5000 0.0000
P 0.5000 0.0000 0.0000
P 0.0000 0.0000 0.5000

A plane-wave DFT calculation with GGA-PBE was carried out for an optimized crystal structure of SrUP2Rh4.

Calculated values
Crystal system   tetragonal

a b c (Å): 3.9751 3.9751 9.7179
angles (deg): 90.00 90.00 90.00
Atoms (fractional coordinates):
Rh 0.0000 0.5000 0.8044
Rh 0.0000 0.5000 0.1956
Rh 0.5000 0.0000 0.1956
Rh 0.5000 0.0000 0.8044
U 0.0000 0.0000 0.0000
P 0.5000 0.5000 0.3252
P 0.5000 0.5000 0.6748
Sr 0.0000 0.0000 0.5000

A plane-wave DFT calculation with GGA-PBE was carried out for an optimized crystal structure of Sr2YP3Rh12.

Calculated values
Crystal system   trigonal

a b c (Å): 6.7531 6.7531 6.7531
angles (deg): 84.18 84.18 84.18
Atoms (fractional coordinates):
Sr 0.6166 0.6166 0.6166
Sr 0.3834 0.3834 0.3834
Rh 0.8227 0.8227 0.3340
Rh 0.6660 0.1773 0.1773
Rh 0.3600 0.9228 0.3600
Rh 0.9228 0.3600 0.3600
Rh 0.6400 0.6400 0.0772
Rh 0.0772 0.6400 0.6400
Rh 0.8227 0.3340 0.8227
Rh 0.3600 0.3600 0.9228
Rh 0.3340 0.8227 0.8227
Rh 0.1773 0.6660 0.1773
Rh 0.6400 0.0772 0.6400
Rh 0.1773 0.1773 0.6660
Y 0.0000 0.0000 0.0000
P 0.0000 0.5000 0.0000
P 0.5000 0.0000 0.0000
P 0.0000 0.0000 0.5000

A plane-wave DFT calculation with GGA-PBE was carried out for an optimized crystal structure of SrZn2PRh2.

Calculated values
Crystal system   tetragonal

a b c (Å): 4.4745 4.4745 5.8353
angles (deg): 90.00 90.00 90.00
Atoms (fractional coordinates):
Rh 0.0000 0.5000 0.0000
Rh 0.5000 0.0000 0.0000
P 0.0000 0.0000 0.0000
Sr 0.0000 0.0000 0.5000
Zn 0.5000 0.5000 0.2714
Zn 0.5000 0.5000 0.7286

Formation energy in eV per atom, matching the order above: -0.2131 -0.2953 -1.0549 -0.5263 -0.1865 -0.7579 -0.1726 -0.4840